DyErTl4 | PBE-GGA | relaxed

- Calculated total energy: -3.096 eV/atom
- Energy relative to the elements: 0.01 eV/atom
- Density of states at the Fermi level: 3.25 states/eV per cell

CIF file:
```
data_DyErTl4
_chemical_formula_sum 'Dy1 Er1 Tl4'
_symmetry_space_group_name_H-M 'P 1'
_symmetry_Int_Tables_number 1
_symmetry_space_group_name_Hall 'P 1'
_cell_length_a 5.036
_cell_length_b 5.036
_cell_length_c 7.552
_cell_angle_alpha 90.12
_cell_angle_beta 90.12
_cell_angle_gamma 94.74
loop_
_atom_site_label
_atom_site_type_symbol
_atom_site_fract_x
_atom_site_fract_y
_atom_site_fract_z
Dy1 Dy 0.000 0.000 0.000
Er1 Er 0.500 0.500 0.500
Tl1 Tl 0.001 0.499 0.748
Tl2 Tl 0.499 0.001 0.748
Tl3 Tl 0.501 0.999 0.252
Tl4 Tl 0.999 0.501 0.252
```

***

DyEr2Tl4 | PBE-GGA | relaxed

- Calculated total energy: -3.308 eV/atom
- Energy relative to the elements: 0.01 eV/atom
- Density of states at the Fermi level: 6.56 states/eV per cell

CIF file:
```
data_DyEr2Tl4
_chemical_formula_sum 'Dy1 Er2 Tl4'
_symmetry_space_group_name_H-M 'P 1'
_symmetry_Int_Tables_number 1
_symmetry_space_group_name_Hall 'P 1'
_cell_length_a 5.913
_cell_length_b 3.471
_cell_length_c 10.488
_cell_angle_alpha 90.00
_cell_angle_beta 103.76
_cell_angle_gamma 90.00
loop_
_atom_site_label
_atom_site_type_symbol
_atom_site_fract_x
_atom_site_fract_y
_atom_site_fract_z
Dy1 Dy 0.000 0.000 0.000
Er1 Er 0.287 0.500 0.589
Er2 Er 0.715 0.500 0.411
Tl1 Tl 0.152 0.500 0.278
Tl2 Tl 0.430 0.000 0.850
Tl3 Tl 0.570 0.000 0.150
Tl4 Tl 0.850 0.500 0.722
```

***

Dy2ErTl | PBE-GGA | relaxed

- Calculated total energy: -4.199 eV/atom
- Energy relative to the elements: -0.17 eV/atom
- Density of states at the Fermi level: 3.65 states/eV per cell

CIF file:
```
data_Dy2ErTl
_chemical_formula_sum 'Dy2 Er1 Tl1'
_symmetry_space_group_name_H-M 'P 1'
_symmetry_Int_Tables_number 1
_symmetry_space_group_name_Hall 'P 1'
_cell_length_a 6.623
_cell_length_b 6.623
_cell_length_c 6.623
_cell_angle_alpha 146.37
_cell_angle_beta 132.37
_cell_angle_gamma 59.56
loop_
_atom_site_label
_atom_site_type_symbol
_atom_site_fract_x
_atom_site_fract_y
_atom_site_fract_z
Dy1 Dy 0.224 0.224 0.000
Dy2 Dy 0.776 0.776 0.000
Er1 Er 0.500 0.000 0.500
Tl1 Tl 0.000 0.500 0.500
```

***

Dy2Er2Tl3 | PBE-GGA | relaxed

- Calculated total energy: -3.872 eV/atom
- Energy relative to the elements: -0.24 eV/atom
- Density of states at the Fermi level: 7.06 states/eV per cell

CIF file:
```
data_Dy2Er2Tl3
_chemical_formula_sum 'Dy2 Er2 Tl3'
_symmetry_space_group_name_H-M 'P 1'
_symmetry_Int_Tables_number 1
_symmetry_space_group_name_Hall 'P 1'
_cell_length_a 6.777
_cell_length_b 6.777
_cell_length_c 8.250
_cell_angle_alpha 100.36
_cell_angle_beta 100.36
_cell_angle_gamma 32.13
loop_
_atom_site_label
_atom_site_type_symbol
_atom_site_fract_x
_atom_site_fract_y
_atom_site_fract_z
Dy1 Dy 0.203 0.203 0.150
Dy2 Dy 0.797 0.797 0.850
Er1 Er 0.068 0.068 0.721
Er2 Er 0.932 0.932 0.279
Tl1 Tl 0.355 0.355 0.546
Tl2 Tl 0.500 0.500 0.000
Tl3 Tl 0.645 0.645 0.454
```

***

Dy2ErTl | PBE-GGA | relaxed

- Calculated total energy: -4.209 eV/atom
- Energy relative to the elements: -0.18 eV/atom
- Density of states at the Fermi level: 5.20 states/eV per cell

CIF file:
```
data_Dy2ErTl
_chemical_formula_sum 'Dy2 Er1 Tl1'
_symmetry_space_group_name_H-M 'P 1'
_symmetry_Int_Tables_number 1
_symmetry_space_group_name_Hall 'P 1'
_cell_length_a 4.832
_cell_length_b 4.832
_cell_length_c 4.844
_cell_angle_alpha 90.00
_cell_angle_beta 90.00
_cell_angle_gamma 90.00
loop_
_atom_site_label
_atom_site_type_symbol
_atom_site_fract_x
_atom_site_fract_y
_atom_site_fract_z
Dy1 Dy 0.000 0.500 0.000
Dy2 Dy 0.500 0.000 0.000
Er1 Er 0.000 0.000 0.500
Tl1 Tl 0.500 0.500 0.500
```

***

DyEr2Tl | PBE-GGA | relaxed

- Calculated total energy: -4.195 eV/atom
- Energy relative to the elements: -0.17 eV/atom
- Density of states at the Fermi level: 5.27 states/eV per cell

CIF file:
```
data_DyEr2Tl
_chemical_formula_sum 'Dy1 Er2 Tl1'
_symmetry_space_group_name_H-M 'P 1'
_symmetry_Int_Tables_number 1
_symmetry_space_group_name_Hall 'P 1'
_cell_length_a 4.827
_cell_length_b 4.827
_cell_length_c 4.816
_cell_angle_alpha 90.00
_cell_angle_beta 90.00
_cell_angle_gamma 90.00
loop_
_atom_site_label
_atom_site_type_symbol
_atom_site_fract_x
_atom_site_fract_y
_atom_site_fract_z
Dy1 Dy 0.000 0.000 0.000
Er1 Er 0.000 0.500 0.500
Er2 Er 0.500 0.000 0.500
Tl1 Tl 0.500 0.500 0.000
```

***

Dy7ErTl2 | PBE-GGA | relaxed

- Calculated total energy: -3.785 eV/atom
- Energy relative to the elements: 0.37 eV/atom
- Density of states at the Fermi level: 18.74 states/eV per cell

CIF file:
```
data_Dy7ErTl2
_chemical_formula_sum 'Dy7 Er1 Tl2'
_symmetry_space_group_name_H-M 'P 1'
_symmetry_Int_Tables_number 1
_symmetry_space_group_name_Hall 'P 1'
_cell_length_a 9.063
_cell_length_b 9.063
_cell_length_c 5.271
_cell_angle_alpha 90.00
_cell_angle_beta 90.00
_cell_angle_gamma 119.24
loop_
_atom_site_label
_atom_site_type_symbol
_atom_site_fract_x
_atom_site_fract_y
_atom_site_fract_z
Dy1 Dy 0.000 0.000 0.000
Dy2 Dy 0.199 0.437 0.000
Dy3 Dy 0.276 0.724 0.500
Dy4 Dy 0.437 0.199 0.000
Dy5 Dy 0.563 0.801 0.000
Dy6 Dy 0.724 0.276 0.500
Dy7 Dy 0.801 0.563 0.000
Er1 Er 0.500 0.500 0.500
Tl1 Tl 0.193 0.807 0.000
Tl2 Tl 0.807 0.193 0.000
```

***

DyEr2Tl | PBE-GGA | relaxed

- Calculated total energy: -4.133 eV/atom
- Energy relative to the elements: -0.11 eV/atom
- Density of states at the Fermi level: 4.92 states/eV per cell

CIF file:
```
data_DyEr2Tl
_chemical_formula_sum 'Dy1 Er2 Tl1'
_symmetry_space_group_name_H-M 'P 1'
_symmetry_Int_Tables_number 1
_symmetry_space_group_name_Hall 'P 1'
_cell_length_a 11.051
_cell_length_b 11.051
_cell_length_c 11.051
_cell_angle_alpha 18.58
_cell_angle_beta 18.58
_cell_angle_gamma 18.58
loop_
_atom_site_label
_atom_site_type_symbol
_atom_site_fract_x
_atom_site_fract_y
_atom_site_fract_z
Dy1 Dy 0.000 0.000 0.000
Er1 Er 0.246 0.246 0.246
Er2 Er 0.420 0.420 0.420
Tl1 Tl 0.833 0.833 0.833
```

***

DyEr2Tl | PBE-GGA | relaxed

- Calculated total energy: -4.188 eV/atom
- Energy relative to the elements: -0.16 eV/atom
- Density of states at the Fermi level: 4.53 states/eV per cell

CIF file:
```
data_DyEr2Tl
_chemical_formula_sum 'Dy1 Er2 Tl1'
_symmetry_space_group_name_H-M 'P 1'
_symmetry_Int_Tables_number 1
_symmetry_space_group_name_Hall 'P 1'
_cell_length_a 3.597
_cell_length_b 3.597
_cell_length_c 9.052
_cell_angle_alpha 90.00
_cell_angle_beta 90.00
_cell_angle_gamma 90.00
loop_
_atom_site_label
_atom_site_type_symbol
_atom_site_fract_x
_atom_site_fract_y
_atom_site_fract_z
Dy1 Dy 0.000 0.000 0.000
Er1 Er 0.500 0.500 0.270
Er2 Er 0.500 0.500 0.730
Tl1 Tl 0.000 0.000 0.500
```

***

DyEr4Tl | PBE-GGA | relaxed

- Calculated total energy: -4.164 eV/atom
- Energy relative to the elements: 0.04 eV/atom
- Density of states at the Fermi level: 15.24 states/eV per cell

CIF file:
```
data_DyEr4Tl
_chemical_formula_sum 'Dy2 Er8 Tl2'
_symmetry_space_group_name_H-M 'P 1'
_symmetry_Int_Tables_number 1
_symmetry_space_group_name_Hall 'P 1'
_cell_length_a 10.851
_cell_length_b 10.851
_cell_length_c 6.463
_cell_angle_alpha 90.00
_cell_angle_beta 90.00
_cell_angle_gamma 150.73
loop_
_atom_site_label
_atom_site_type_symbol
_atom_site_fract_x
_atom_site_fract_y
_atom_site_fract_z
Dy1 Dy 0.064 0.936 0.500
Dy2 Dy 0.936 0.064 0.000
Er1 Er 0.138 0.862 0.014
Er2 Er 0.255 0.745 0.378
Er3 Er 0.319 0.681 0.855
Er4 Er 0.461 0.539 0.676
Er5 Er 0.539 0.461 0.176
Er6 Er 0.681 0.319 0.355
Er7 Er 0.745 0.255 0.878
Er8 Er 0.862 0.138 0.514
Tl1 Tl 0.397 0.603 0.251
Tl2 Tl 0.603 0.397 0.751
```

***

> The lowest energy relative to the elements belongs to which entry?

Dy2Er2Tl3

***

> Which value of density of states at the Fermi level does entry 3 give?

3.65 states/eV per cell

***

> What is the formula in the ninth record?

DyEr2Tl

***

> The lowest calculated total energy belongs to which entry?

number 5